# 1
## Pr2Hg8Bi (GGA-PBE)

Data for a relaxed structure of Pr2Hg8Bi.

Results
raw total energy = -18.902 eV for the cell shown
formation energy from the elements = -0.28 eV/atom
symmetry = No. 123

a = 4.863 Å, b = 4.863 Å, c = 12.957 Å
α = 90.00°, β = 90.00°, γ = 90.00°
Fractional coordinates of all 11 atoms:
Hg (0.000, 0.500, 0.155)
Hg (0.500, 0.000, 0.845)
Hg (0.500, 0.500, 0.338)
Hg (0.500, 0.500, 0.662)
Hg (0.000, 0.500, 0.845)
Hg (0.500, 0.000, 0.500)
Hg (0.000, 0.500, 0.500)
Hg (0.500, 0.000, 0.155)
Pr (0.000, 0.000, 0.681)
Pr (0.000, 0.000, 0.319)
Bi (0.000, 0.000, 0.000)

=====

# 2
## PrHg3Bi (GGA-PBE)

Data for a relaxed structure of PrHg3Bi.

Results
raw total energy = -43.653 eV for the cell shown
formation energy from the elements = -0.27 eV/atom
symmetry = No. 62

a = 7.158 Å, b = 8.703 Å, c = 8.901 Å
α = 90.00°, β = 90.00°, γ = 90.00°
Fractional coordinates of all 20 atoms:
Pr (0.250, 0.625, 0.324)
Pr (0.750, 0.375, 0.676)
Pr (0.750, 0.875, 0.824)
Pr (0.250, 0.125, 0.176)
Hg (0.750, 0.159, 0.090)
Hg (0.544, 0.345, 0.338)
Hg (0.750, 0.659, 0.410)
Hg (0.250, 0.341, 0.590)
Hg (0.044, 0.155, 0.838)
Hg (0.956, 0.845, 0.162)
Hg (0.544, 0.845, 0.162)
Hg (0.456, 0.155, 0.838)
Hg (0.044, 0.655, 0.662)
Hg (0.250, 0.841, 0.910)
Hg (0.956, 0.345, 0.338)
Hg (0.456, 0.655, 0.662)
Bi (0.500, 0.000, 0.500)
Bi (0.000, 0.500, 0.000)
Bi (0.000, 0.000, 0.500)
Bi (0.500, 0.500, 0.000)

=====

# 3
## Pr2HgBi (GGA-PBE)

Data for a relaxed structure of Pr2HgBi.

Results
offset from the most stable computed form = 0.049 eV/atom
raw total energy = -16.128 eV for the cell shown
formation energy from the elements = -0.60 eV/atom
symmetry = No. 12

a = 4.509 Å, b = 4.502 Å, c = 8.198 Å
α = 106.02°, β = 90.00°, γ = 120.05°
Fractional coordinates of all 4 atoms:
Hg (0.500, 0.000, 0.000)
Bi (0.000, 0.000, 0.500)
Pr (0.251, 0.503, 0.255)
Pr (0.749, 0.497, 0.745)

=====

# 4
## PrHgBi (GGA-PBE)

Data for a relaxed structure of PrHgBi.

Results
offset from the most stable computed form = 0.010 eV/atom
raw total energy = -10.638 eV for the cell shown
formation energy from the elements = -0.56 eV/atom
symmetry = No. 156

a = 4.462 Å, b = 4.902 Å, c = 4.902 Å
α = 120.00°, β = 90.00°, γ = 90.00°
Fractional coordinates of all 3 atoms:
Bi (0.710, 0.667, 0.333)
Pr (0.291, 0.333, 0.667)
Hg (0.999, 0.000, 0.000)

=====

# 5
## Pr8HgBi5 (GGA-PBE)

Data for a relaxed structure of Pr8HgBi5.

Results
raw total energy = -68.634 eV for the cell shown
formation energy from the elements = -0.76 eV/atom
symmetry = No. 82

a = 8.435 Å, b = 8.435 Å, c = 8.435 Å
α = 109.81°, β = 108.80°, γ = 109.81°
Fractional coordinates of all 14 atoms:
Hg (0.250, 0.500, 0.750)
Bi (0.500, 0.000, 0.500)
Bi (0.751, 0.627, 0.623)
Bi (0.377, 0.128, 0.004)
Bi (0.876, 0.872, 0.249)
Bi (0.996, 0.373, 0.124)
Pr (0.770, 0.249, 0.374)
Pr (0.986, 0.112, 0.734)
Pr (0.479, 0.605, 0.230)
Pr (0.266, 0.252, 0.379)
Pr (0.127, 0.748, 0.014)
Pr (0.621, 0.888, 0.873)
Pr (0.126, 0.751, 0.521)
Pr (0.626, 0.395, 0.874)

=====

# 6
## PrHgBi4 (GGA-PBE)

Data for a relaxed structure of PrHgBi4.

Results
offset from the most stable computed form = 0.000 eV/atom
raw total energy = -21.998 eV for the cell shown
formation energy from the elements = -0.23 eV/atom
symmetry = No. 71

a = 5.912 Å, b = 6.530 Å, c = 6.532 Å
α = 61.49°, β = 63.09°, γ = 63.08°
Fractional coordinates of all 6 atoms:
Hg (0.000, 0.500, 0.000)
Pr (0.000, 0.000, 0.500)
Bi (0.668, 0.595, 0.569)
Bi (0.332, 0.405, 0.431)
Bi (0.332, 0.930, 0.906)
Bi (0.668, 0.070, 0.094)

=====

# 7
## PrHg2Bi (GGA-PBE)

Data for a relaxed structure of PrHg2Bi.

Results
raw total energy = -8.907 eV for the cell shown
formation energy from the elements = 0.09 eV/atom
symmetry = No. 166

a = 3.505 Å, b = 3.505 Å, c = 12.040 Å
α = 81.63°, β = 81.63°, γ = 60.00°
Fractional coordinates of all 4 atoms:
Pr (0.000, 0.000, 0.000)
Hg (0.088, 0.088, 0.735)
Hg (0.912, 0.912, 0.265)
Bi (0.500, 0.500, 0.500)

=====

# 8
## PrHgBi (GGA-PBE)

Data for a relaxed structure of PrHgBi.

Results
offset from the most stable computed form = 0.125 eV/atom
raw total energy = -10.293 eV for the cell shown
formation energy from the elements = -0.44 eV/atom
symmetry = No. 216

a = 5.344 Å, b = 5.344 Å, c = 5.344 Å
α = 60.00°, β = 60.00°, γ = 60.00°
Fractional coordinates of all 3 atoms:
Pr (0.250, 0.250, 0.250)
Hg (0.000, 0.000, 0.000)
Bi (0.500, 0.500, 0.500)

=====

# 9
## PrHgBi (GGA-PBE)

Data for a relaxed structure of PrHgBi.

Results
offset from the most stable computed form = 0.096 eV/atom
raw total energy = -10.378 eV for the cell shown
formation energy from the elements = -0.47 eV/atom
symmetry = No. 107

a = 4.378 Å, b = 4.378 Å, c = 5.740 Å
α = 112.42°, β = 112.42°, γ = 90.00°
Fractional coordinates of all 3 atoms:
Hg (0.284, 0.284, 0.568)
Pr (0.609, 0.609, 0.218)
Bi (0.957, 0.957, 0.914)

=====

# 10
## PrHgBi (GGA-PBE)

Data for a relaxed structure of PrHgBi.

Results
offset from the most stable computed form = 0.000 eV/atom
raw total energy = -21.334 eV for the cell shown
formation energy from the elements = -0.57 eV/atom
symmetry = No. 12

a = 4.608 Å, b = 4.608 Å, c = 8.855 Å
α = 89.75°, β = 89.75°, γ = 90.01°
Fractional coordinates of all 6 atoms:
Bi (0.752, 0.752, 0.323)
Bi (0.248, 0.248, 0.677)
Hg (0.250, 0.750, 0.000)
Hg (0.750, 0.250, 0.000)
Pr (0.748, 0.748, 0.690)
Pr (0.252, 0.252, 0.310)

=====

# 11
## Pr3HgBi2 (GGA-PBE)

Data for a relaxed structure of Pr3HgBi2.

Results
raw total energy = -53.189 eV for the cell shown
formation energy from the elements = -0.70 eV/atom
symmetry = No. 15

a = 6.496 Å, b = 9.208 Å, c = 7.995 Å
α = 106.73°, β = 113.97°, γ = 90.00°
Fractional coordinates of all 12 atoms:
Hg (0.001, 0.250, 0.000)
Hg (0.999, 0.750, 0.000)
Bi (0.666, 0.583, 0.332)
Bi (0.666, 0.083, 0.332)
Bi (0.334, 0.917, 0.668)
Bi (0.334, 0.417, 0.668)
Pr (0.828, 0.414, 0.656)
Pr (0.501, 0.250, 0.000)
Pr (0.499, 0.750, 0.000)
Pr (0.172, 0.086, 0.344)
Pr (0.172, 0.586, 0.344)
Pr (0.828, 0.914, 0.656)

=====

# 12
## Pr5Hg2Bi (GGA-PBE)

Data for a relaxed structure of Pr5Hg2Bi.

Results
raw total energy = -64.421 eV for the cell shown
formation energy from the elements = -0.48 eV/atom
symmetry = No. 140

a = 8.793 Å, b = 8.793 Å, c = 9.085 Å
α = 118.94°, β = 118.94°, γ = 90.00°
Fractional coordinates of all 16 atoms:
Pr (0.700, 0.200, 0.707)
Pr (0.300, 0.800, 0.293)
Pr (0.500, 0.500, 0.000)
Pr (0.993, 0.493, 0.293)
Pr (0.493, 0.300, 0.293)
Pr (0.007, 0.507, 0.707)
Pr (0.000, 0.000, 0.000)
Pr (0.800, 0.993, 0.293)
Pr (0.507, 0.700, 0.707)
Pr (0.200, 0.007, 0.707)
Bi (0.250, 0.250, 0.500)
Bi (0.750, 0.750, 0.500)
Hg (0.641, 0.141, 0.000)
Hg (0.141, 0.359, 0.000)
Hg (0.859, 0.641, 0.000)
Hg (0.359, 0.859, 0.000)

=====

# 13
## Pr2HgBi (GGA-PBE)

Data for a relaxed structure of Pr2HgBi.

Results
offset from the most stable computed form = 0.104 eV/atom
raw total energy = -15.907 eV for the cell shown
formation energy from the elements = -0.54 eV/atom
symmetry = No. 160

a = 4.402 Å, b = 4.402 Å, c = 8.567 Å
α = 75.11°, β = 75.11°, γ = 60.00°
Fractional coordinates of all 4 atoms:
Bi (0.667, 0.667, 0.998)
Pr (0.253, 0.253, 0.240)
Pr (0.080, 0.080, 0.760)
Hg (0.499, 0.499, 0.503)

=====

# 14
## Pr2Hg6Bi (GGA-PBE)

Data for a relaxed structure of Pr2Hg6Bi.

Results
raw total energy = -17.581 eV for the cell shown
formation energy from the elements = -0.26 eV/atom
symmetry = No. 12

a = 3.496 Å, b = 9.121 Å, c = 8.797 Å
α = 121.23°, β = 89.98°, γ = 90.00°
Site moments in Bohr magnetons follow the coordinates.
Fractional coordinates of all 9 atoms:
Pr (0.000, 0.664, 0.327)  0.10
Pr (0.000, 0.336, 0.673)  0.10
Hg (0.499, 0.997, 0.667)  0.00
Hg (0.501, 0.330, 0.333)  0.00
Hg (0.500, 0.670, 0.000)  0.00
Hg (0.500, 0.330, 0.000)  0.00
Hg (0.501, 0.003, 0.333)  0.00
Hg (0.499, 0.670, 0.667)  0.00
Bi (0.000, 0.000, 0.000)  0.00

=====

# 15
## Pr2HgBi (GGA-PBE)

Data for a relaxed structure of Pr2HgBi.

Results
offset from the most stable computed form = 0.055 eV/atom
raw total energy = -16.106 eV for the cell shown
formation energy from the elements = -0.59 eV/atom
symmetry = No. 225

a = 5.551 Å, b = 5.551 Å, c = 5.551 Å
α = 60.00°, β = 60.00°, γ = 60.00°
Fractional coordinates of all 4 atoms:
Pr (0.750, 0.750, 0.750)
Pr (0.250, 0.250, 0.250)
Bi (0.000, 0.000, 0.000)
Hg (0.500, 0.500, 0.500)

=====

# 16
## PrHg2Bi2 (GGA-PBE)

Data for a relaxed structure of PrHg2Bi2.

Results
offset from the most stable computed form = 0.128 eV/atom
raw total energy = -28.638 eV for the cell shown
formation energy from the elements = -0.23 eV/atom
symmetry = No. 194

a = 5.403 Å, b = 5.403 Å, c = 13.046 Å
α = 90.00°, β = 90.00°, γ = 120.00°
Fractional coordinates of all 10 atoms:
Bi (0.667, 0.333, 0.372)
Bi (0.333, 0.667, 0.872)
Bi (0.333, 0.667, 0.628)
Bi (0.667, 0.333, 0.128)
Hg (0.000, 0.000, 0.500)
Hg (0.000, 0.000, 0.000)
Hg (0.333, 0.667, 0.250)
Hg (0.667, 0.333, 0.750)
Pr (0.000, 0.000, 0.250)
Pr (0.000, 0.000, 0.750)

=====

# 17
## PrHg2Bi2 (GGA-PBE)

Data for a relaxed structure of PrHg2Bi2.

Results
offset from the most stable computed form = 0.000 eV/atom
raw total energy = -29.914 eV for the cell shown
formation energy from the elements = -0.36 eV/atom
symmetry = No. 63

a = 4.701 Å, b = 4.700 Å, c = 13.317 Å
α = 90.02°, β = 100.17°, γ = 90.00°
Fractional coordinates of all 10 atoms:
Bi (0.250, 0.750, 0.500)
Bi (0.750, 0.250, 0.500)
Bi (0.860, 0.750, 0.720)
Bi (0.140, 0.250, 0.280)
Hg (0.457, 0.750, 0.914)
Hg (0.045, 0.750, 0.089)
Hg (0.543, 0.250, 0.086)
Hg (0.955, 0.250, 0.911)
Pr (0.645, 0.750, 0.291)
Pr (0.355, 0.250, 0.709)

=====

# 18
## Pr2HgBi (GGA-PBE)

Data for a relaxed structure of Pr2HgBi.

Results
offset from the most stable computed form = 0.012 eV/atom
raw total energy = -16.275 eV for the cell shown
formation energy from the elements = -0.63 eV/atom
symmetry = No. 123

a = 4.125 Å, b = 4.125 Å, c = 7.137 Å
α = 90.00°, β = 90.00°, γ = 90.00°
Site moments in Bohr magnetons follow the coordinates.
Fractional coordinates of all 4 atoms:
Pr (0.000, 0.000, 0.250)  0.17
Pr (0.000, 0.000, 0.750)  0.17
Hg (0.500, 0.500, 0.500)  0.01
Bi (0.500, 0.500, 0.000)  -0.01

=====

# 19
## PrHg2Bi (GGA-PBE)

Data for a relaxed structure of PrHg2Bi.

Results
raw total energy = -10.494 eV for the cell shown
formation energy from the elements = -0.31 eV/atom
symmetry = No. 123

a = 3.917 Å, b = 3.917 Å, c = 7.333 Å
α = 90.00°, β = 90.00°, γ = 90.00°
Site moments in Bohr magnetons follow the coordinates.
Fractional coordinates of all 4 atoms:
Pr (0.500, 0.500, 0.500)  0.09
Hg (0.000, 0.000, 0.245)  0.00
Hg (0.000, 0.000, 0.755)  0.00
Bi (0.500, 0.500, 0.000)  -0.02

=====

# 20
## PrHgBi2 (GGA-PBE)

Data for a relaxed structure of PrHgBi2.

Results
offset from the most stable computed form = 0.040 eV/atom
raw total energy = -14.592 eV for the cell shown
formation energy from the elements = -0.44 eV/atom
symmetry = No. 123

a = 4.368 Å, b = 4.368 Å, c = 6.635 Å
α = 90.00°, β = 90.00°, γ = 90.00°
Fractional coordinates of all 4 atoms:
Bi (0.000, 0.000, 0.232)
Bi (0.000, 0.000, 0.768)
Pr (0.500, 0.500, 0.000)
Hg (0.500, 0.500, 0.500)

=====

# 21
## Pr6Hg5Bi (GGA-PBE)

Data for a relaxed structure of Pr6Hg5Bi.

Results
raw total energy = -40.359 eV for the cell shown
formation energy from the elements = -0.52 eV/atom
symmetry = No. 71

a = 5.501 Å, b = 7.744 Å, c = 9.550 Å
α = 113.92°, β = 106.74°, γ = 90.00°
Site moments in Bohr magnetons follow the coordinates.
Fractional coordinates of all 12 atoms:
Pr (0.500, 0.252, 0.000)  0.10
Pr (0.168, 0.917, 0.335)  0.12
Pr (0.832, 0.083, 0.665)  0.12
Pr (0.168, 0.418, 0.335)  0.12
Pr (0.832, 0.582, 0.665)  0.12
Pr (0.500, 0.748, 0.000)  0.10
Hg (0.666, 0.666, 0.332)  0.01
Hg (0.674, 0.174, 0.349)  0.01
Hg (0.334, 0.334, 0.668)  0.01
Hg (0.000, 0.500, 0.000)  0.01
Hg (0.326, 0.826, 0.651)  0.01
Bi (0.000, 0.000, 0.000)  -0.02

=====

# 22
## Pr4HgBi (GGA-PBE)

Data for a relaxed structure of Pr4HgBi.

Results
raw total energy = -51.267 eV for the cell shown
formation energy from the elements = -0.39 eV/atom
symmetry = No. 123

a = 5.850 Å, b = 5.850 Å, c = 11.861 Å
α = 104.25°, β = 104.28°, γ = 90.00°
Fractional coordinates of all 12 atoms:
Pr (0.674, 0.174, 0.848)
Pr (0.174, 0.674, 0.848)
Pr (0.422, 0.422, 0.344)
Pr (0.578, 0.578, 0.656)
Pr (0.078, 0.078, 0.656)
Pr (0.826, 0.326, 0.152)
Pr (0.922, 0.922, 0.344)
Pr (0.326, 0.826, 0.152)
Hg (0.000, 0.500, 0.500)
Hg (0.500, 0.000, 0.500)
Bi (0.750, 0.750, 0.000)
Bi (0.250, 0.250, 0.000)

=====

# 23
## PrHgBiPt (GGA-PBE)

Data for a relaxed structure of PrHgBiPt.

Results
raw total energy = -17.214 eV for the cell shown
formation energy from the elements = -0.55 eV/atom
symmetry = No. 216

a = 5.196 Å, b = 5.196 Å, c = 5.196 Å
α = 60.00°, β = 60.00°, γ = 60.00°
Fractional coordinates of all 4 atoms:
Hg (0.000, 0.000, 0.000)
Pr (0.250, 0.250, 0.250)
Bi (0.750, 0.750, 0.750)
Pt (0.500, 0.500, 0.500)

=====

# 24
## Pr6HgBi2Te3 (GGA-PBE)

Data for a relaxed structure of Pr6HgBi2Te3.

Results
raw total energy = -59.634 eV for the cell shown
symmetry = No. 12

a = 4.539 Å, b = 9.195 Å, c = 10.209 Å
α = 103.08°, β = 102.84°, γ = 90.00°
Fractional coordinates of all 12 atoms:
Te (0.170, 0.834, 0.339)
Te (0.500, 0.500, 0.000)
Te (0.830, 0.166, 0.661)
Bi (0.166, 0.333, 0.331)
Bi (0.834, 0.667, 0.669)
Pr (0.664, 0.082, 0.327)
Pr (0.999, 0.246, 0.997)
Pr (0.668, 0.582, 0.335)
Pr (0.001, 0.754, 0.003)
Pr (0.332, 0.418, 0.665)
Pr (0.336, 0.918, 0.673)
Hg (0.500, 0.000, 0.000)